# TlCd3Sb

An optimized crystal structure of TlCd3Sb (PBE, the Alexandria database).

Calculated values
Total magnetization (μB per atom): 0.000
V (Å³/atom): 36.05
Total energy (eV per cell): -7.6
Space group: Pm-3m (221)
ΔE to the lowest computed polymorph (eV per atom): 0.000

```
TlCd3Sb
1.0
-3.480 -1.869 -4.038
-0.839 -4.758 2.926
-4.370 2.403 2.654
Cd Sb Tl
3 1 1
Direct
0.000 0.000 0.500 Cd
0.500 0.000 0.000 Cd
0.000 0.500 0.000 Cd
0.000 0.000 0.000 Sb
0.500 0.500 0.500 Tl
```

# TlCdSb2

An optimized crystal structure of TlCdSb2 (PBE, the Alexandria database).

Calculated values
Total magnetization (μB per atom): 0.000
V (Å³/atom): 29.08
Total energy (eV per cell): -11.2
Space group: P2/m (10)
ΔE to the lowest computed polymorph (eV per atom): 0.013

```
TlCdSb2
1.0
4.985 0.000 0.000
0.000 3.342 -0.003
0.000 2.716 6.979
Tl Cd Sb
1 1 2
Direct
0.500 0.250 0.250 Tl
0.500 0.750 0.750 Cd
0.000 0.001 0.957 Sb
0.000 0.499 0.543 Sb
```

# Tl6CdSb

An optimized crystal structure of Tl6CdSb (PBE, the Alexandria database).

Calculated values
Total magnetization (μB per atom): 0.000
V (Å³/atom): 30.10
Total energy (eV per cell): -19.1
Space group: P4/mmm (123)
ΔE to the lowest computed polymorph (eV per atom): 0.000

```
Tl6CdSb
1.0
-0.325 -2.576 4.721
3.246 -3.865 -1.885
6.602 4.204 2.748
Tl Cd Sb
6 1 1
Direct
0.500 0.500 0.500 Tl
0.000 0.500 0.251 Tl
0.500 0.500 0.000 Tl
0.500 0.000 0.251 Tl
0.000 0.500 0.749 Tl
0.500 0.000 0.749 Tl
0.000 0.000 0.000 Cd
0.000 0.000 0.500 Sb
```

# TlCdSb

An optimized crystal structure of TlCdSb (PBE, the Alexandria database).

Calculated values
Total magnetization (μB per atom): 0.000
V (Å³/atom): 29.78
Total energy (eV per cell): -30.6
Space group: Pnma (62)
ΔE to the lowest computed polymorph (eV per atom): 0.000

```
TlCdSb
1.0
-4.321 -1.675 -1.878
3.973 -2.493 -6.919
1.413 -7.641 3.565
Sb Cd Tl
4 4 4
Direct
0.750 0.206 0.593 Sb
0.250 0.294 0.093 Sb
0.750 0.706 0.907 Sb
0.250 0.794 0.407 Sb
0.250 0.159 0.412 Cd
0.250 0.659 0.088 Cd
0.750 0.841 0.588 Cd
0.750 0.341 0.912 Cd
0.750 0.496 0.319 Tl
0.250 0.004 0.819 Tl
0.750 0.996 0.181 Tl
0.250 0.504 0.681 Tl
```

# TlCdSb2

An optimized crystal structure of TlCdSb2 (PBE, the Alexandria database).

Calculated values
Total magnetization (μB per atom): 0.000
V (Å³/atom): 29.03
Total energy (eV per cell): -11.2
Space group: P4/mmm (123)
ΔE to the lowest computed polymorph (eV per atom): 0.001

```
TlCdSb2
1.0
4.009 0.000 0.000
0.000 4.009 0.000
0.000 0.000 7.225
Tl Sb Cd
1 2 1
Direct
0.500 0.500 0.250 Tl
0.000 0.000 0.548 Sb
0.000 0.000 0.952 Sb
0.500 0.500 0.750 Cd
```

# TlCdSb2

An optimized crystal structure of TlCdSb2 (PBE, the Alexandria database).

Calculated values
Total magnetization (μB per atom): 0.000
V (Å³/atom): 27.84
Total energy (eV per cell): -11.1
Space group: P4/mmm (123)
ΔE to the lowest computed polymorph (eV per atom): 0.030

```
TlCdSb2
1.0
3.301 0.000 0.000
0.000 3.301 0.000
0.000 0.000 10.220
Cd Sb Tl
1 2 1
Direct
0.500 0.500 0.750 Cd
0.000 0.000 0.978 Sb
0.000 0.000 0.522 Sb
0.500 0.500 0.250 Tl
```

# Tl2ZnCdSb2

An optimized crystal structure of Tl2ZnCdSb2 (PBE, the Alexandria database).

Calculated values
Total magnetization (μB per atom): 0.000
V (Å³/atom): 29.07
Total energy (eV per cell): -30.7
Space group: Ibam (72)

```
Tl2ZnCdSb2
1.0
6.409 0.000 0.000
0.000 6.555 0.000
-3.204 -3.278 8.303
Zn Cd Tl Sb
2 2 4 4
Direct
0.500 0.250 0.000 Zn
0.500 0.750 0.000 Zn
0.000 0.250 0.000 Cd
0.000 0.750 0.000 Cd
0.594 0.819 0.638 Tl
0.956 0.681 0.362 Tl
0.044 0.319 0.638 Tl
0.406 0.181 0.362 Tl
0.171 0.892 0.785 Sb
0.386 0.608 0.215 Sb
0.614 0.392 0.785 Sb
0.829 0.108 0.215 Sb
```

# TlZnCdSb

An optimized crystal structure of TlZnCdSb (PBE, the Alexandria database).

Calculated values
Total magnetization (μB per atom): 0.000
V (Å³/atom): 25.30
Total energy (eV per cell): -8.2
Space group: F-43m (216)

```
TlZnCdSb
1.0
5.231 0.000 0.000
2.615 4.530 0.000
2.615 1.510 4.271
Zn Sb Cd Tl
1 1 1 1
Direct
0.250 0.250 0.250 Zn
0.500 0.500 0.500 Sb
0.750 0.750 0.750 Cd
0.000 0.000 0.000 Tl
```

# TmCdSb2

An optimized crystal structure of TmCdSb2 (PBE, the Alexandria database).

Calculated values
Total magnetization (μB per atom): 0.000
V (Å³/atom): 25.31
Total energy (eV per cell): -15.3
Space group: P4/mmm (123)
ΔE to the lowest computed polymorph (eV per atom): 0.000

```
TmCdSb2
1.0
4.086 0.000 0.000
0.000 4.978 0.000
0.000 0.000 4.978
Tm Cd Sb
1 1 2
Direct
0.500 0.500 0.500 Tm
0.500 0.000 0.000 Cd
0.000 0.500 0.000 Sb
0.000 0.000 0.500 Sb
```

# TmCdSb2

An optimized crystal structure of TmCdSb2 (PBE, the Alexandria database).

Calculated values
Total magnetization (μB per atom): 0.000
V (Å³/atom): 28.81
Total energy (eV per cell): -14.9
Space group: R-3m (166)
ΔE to the lowest computed polymorph (eV per atom): 0.084

```
TmCdSb2
1.0
-0.567 -1.636 -4.068
3.437 -0.286 -2.766
2.308 -6.896 0.049
Tm Sb Cd
1 2 1
Direct
0.500 0.500 0.500 Tm
0.750 0.750 0.751 Sb
0.250 0.250 0.249 Sb
0.000 0.000 0.000 Cd
```

# Tm7Cd2Sb2

An optimized crystal structure of Tm7Cd2Sb2 (PBE, the Alexandria database).

Calculated values
Total magnetization (μB per atom): 0.000
V (Å³/atom): 29.99
Total energy (eV per cell): -43.8
Space group: Cmmm (65)

```
Tm7Cd2Sb2
1.0
-1.725 6.378 1.487
-3.852 -2.423 5.926
5.801 -1.147 3.301
Tm Sb Cd
7 2 2
Direct
0.500 0.718 0.000 Tm
0.500 0.282 0.000 Tm
0.000 0.718 0.500 Tm
0.000 0.000 0.000 Tm
0.500 0.726 0.500 Tm
0.000 0.282 0.500 Tm
0.500 0.274 0.500 Tm
0.713 0.000 0.287 Sb
0.287 0.000 0.713 Sb
0.174 0.500 0.174 Cd
0.826 0.500 0.826 Cd
```

# U2CdSb4

An optimized crystal structure of U2CdSb4 (PBE, the Alexandria database).

Calculated values
Total magnetization (μB per atom): 0.741
V (Å³/atom): 27.92
Total energy (eV per cell): -41.2
Space group: P-4m2 (115)

```
U2CdSb4
1.0
4.313 0.000 0.000
0.000 4.313 0.000
0.000 0.000 10.509
Cd U Sb
1 2 4
Direct
0.500 0.500 0.000 Cd
0.000 0.500 0.270 U
0.500 0.000 0.730 U
0.500 0.500 0.500 Sb
0.000 0.500 0.813 Sb
0.500 0.000 0.187 Sb
0.000 0.000 0.500 Sb
```

# UCdSb

An optimized crystal structure of UCdSb (PBE, the Alexandria database).

Calculated values
Total magnetization (μB per atom): 0.000
V (Å³/atom): 24.04
Total energy (eV per cell): -32.8
Space group: P2_1/m (11)

```
UCdSb
1.0
-3.023 -2.255 0.923
2.864 -2.674 2.849
-3.026 5.907 4.521
U Sb Cd
2 2 2
Direct
0.750 0.947 0.892 U
0.250 0.053 0.108 U
0.250 0.411 0.820 Sb
0.750 0.589 0.180 Sb
0.750 0.242 0.486 Cd
0.250 0.758 0.514 Cd
```

# UCd2Sb

An optimized crystal structure of UCd2Sb (PBE, the Alexandria database).

Calculated values
Total magnetization (μB per atom): 0.720
V (Å³/atom): 24.78
Total energy (eV per cell): -17.4
Space group: P4/mmm (123)

```
UCd2Sb
1.0
5.106 0.000 0.000
0.000 4.406 0.000
0.000 0.000 4.406
Cd U Sb
2 1 1
Direct
0.000 0.000 0.500 Cd
0.000 0.500 0.000 Cd
0.500 0.000 0.000 U
0.500 0.500 0.500 Sb
```

# V2Cd2Sb

An optimized crystal structure of V2Cd2Sb (PBE, the Alexandria database).

Calculated values
Total magnetization (μB per atom): 0.113
V (Å³/atom): 19.69
Total energy (eV per cell): -45.8
Space group: P4/mbm (127)

```
V2Cd2Sb
1.0
-4.450 3.510 -3.478
-0.655 -5.058 -4.267
-3.280 -1.683 2.498
V Sb Cd
4 2 4
Direct
0.375 0.875 0.000 V
0.875 0.625 0.000 V
0.125 0.375 0.000 V
0.625 0.125 0.000 V
0.000 0.000 0.000 Sb
0.500 0.500 0.000 Sb
0.664 0.836 0.500 Cd
0.336 0.164 0.500 Cd
0.836 0.336 0.500 Cd
0.164 0.664 0.500 Cd
```

# VCdSb

An optimized crystal structure of VCdSb (PBE, the Alexandria database).

Calculated values
Total magnetization (μB per atom): 0.000
V (Å³/atom): 20.62
Total energy (eV per cell): -54.3
Space group: Cmce (64)

```
VCdSb
1.0
-0.740 3.852 -3.968
3.592 -5.012 -1.612
-6.318 -3.740 -2.452
Sb Cd V
4 4 4
Direct
0.677 0.353 0.918 Sb
0.177 0.353 0.582 Sb
0.823 0.647 0.418 Sb
0.323 0.647 0.082 Sb
0.335 0.170 0.250 Cd
0.165 0.830 0.750 Cd
0.665 0.830 0.750 Cd
0.835 0.170 0.250 Cd
0.095 0.191 0.925 V
0.905 0.809 0.075 V
0.405 0.809 0.425 V
0.595 0.191 0.575 V
```

# VCd2Sb2

An optimized crystal structure of VCd2Sb2 (PBE, the Alexandria database).

Calculated values
Total magnetization (μB per atom): 0.519
V (Å³/atom): 24.83
Total energy (eV per cell): -35.8
Space group: P4/mbm (127)

```
VCd2Sb2
1.0
-2.831 -2.295 6.113
1.565 -6.707 -1.793
4.367 0.435 2.185
Sb Cd V
4 4 2
Direct
0.353 0.853 0.000 Sb
0.147 0.353 0.000 Sb
0.853 0.647 0.000 Sb
0.647 0.147 0.000 Sb
0.672 0.828 0.500 Cd
0.328 0.172 0.500 Cd
0.172 0.672 0.500 Cd
0.828 0.328 0.500 Cd
0.500 0.500 0.000 V
0.000 0.000 0.000 V
```

# V3CdSb

An optimized crystal structure of V3CdSb (PBE, the Alexandria database).

Calculated values
Total magnetization (μB per atom): 1.872
V (Å³/atom): 26.13
Total energy (eV per cell): -26.2
Space group: Pm-3m (221)
ΔE to the lowest computed polymorph (eV per atom): 0.000

```
V3CdSb
1.0
-3.645 -1.107 3.352
2.982 -3.543 2.074
1.888 3.460 3.196
Sb V Cd
1 3 1
Direct
0.000 0.000 0.000 Sb
0.500 0.000 0.000 V
0.000 0.000 0.500 V
0.000 0.500 0.000 V
0.500 0.500 0.500 Cd
```

# Cd4SbW

An optimized crystal structure of Cd4SbW (PBE, the Alexandria database).

Calculated values
Total magnetization (μB per atom): 0.277
V (Å³/atom): 21.43
Total energy (eV per cell): -16.3
Space group: F-43m (216)

```
Cd4SbW
1.0
-3.418 -4.517 -0.053
0.209 -3.760 4.232
-4.284 -0.354 3.689
Sb Cd W
1 4 1
Direct
0.750 0.750 0.750 Sb
0.374 0.374 0.374 Cd
0.374 0.877 0.374 Cd
0.374 0.374 0.877 Cd
0.877 0.374 0.374 Cd
0.000 0.000 0.000 W
```

# CdSbW2

An optimized crystal structure of CdSbW2 (PBE, the Alexandria database).

Calculated values
Total magnetization (μB per atom): 0.000
V (Å³/atom): 20.56
Total energy (eV per cell): -29.3
Space group: R3m (160)
ΔE to the lowest computed polymorph (eV per atom): 0.007

```
CdSbW2
1.0
-7.577 0.654 5.861
-8.784 -1.288 3.659
-7.046 -2.471 6.037
Sb W Cd
1 2 1
Direct
0.740 0.740 0.740 Sb
0.261 0.261 0.261 W
0.991 0.991 0.991 W
0.508 0.508 0.508 Cd
```

Taking the records one at a time from the top gives formation energy (no corrections) values of 0.3233 0.0864 0.0203 -0.0804 0.0747 0.1040 -0.0335 0.1223 -0.4127 -0.3287 -0.2187 -0.1764 -0.0169 -0.0501 0.2551 0.1939 0.2575 1.2416 0.7380 0.4116 eV/atom.